! Rb4Tb3AlS8 PBE optimized geometry; values from VASP
&SYSTEM
  ibrav = 0, nat = 16, ntyp = 4
/
ATOMIC_SPECIES
Rb 85.47 Rb.upf
Tb 158.93 Tb.upf
Al 26.98 Al.upf
S 32.06 S.upf
ATOMIC_POSITIONS crystal
Rb 0.0000 0.0000 0.0000
Rb 0.0000 0.5000 0.5000
Rb 0.5000 0.0000 0.5000
Rb 0.5000 0.5000 0.0000
Tb 0.0000 0.0000 0.5000
Tb 0.0000 0.5000 0.0000
Tb 0.5000 0.0000 0.0000
Al 0.5000 0.5000 0.5000
S 0.2317 0.2317 0.2317
S 0.2517 0.7162 0.7162
S 0.2838 0.2838 0.7483
S 0.2838 0.7483 0.2838
S 0.7162 0.2517 0.7162
S 0.7162 0.7162 0.2517
S 0.7483 0.2838 0.2838
S 0.7683 0.7683 0.7683
CELL_PARAMETERS angstrom
4.0073 2.3136 7.6728
-4.0073 2.3136 7.6728
0.0000 -4.6272 7.6728
! Space-group type: No. 166
! Spin magnetization, μB per formula unit: 0.00
! E_form (uncorrected), eV/f.u.: -25.9
! Volume, Å³/cell: 426.9